(1)
# LiMnOF2

LiMnOF2 after structural relaxation (PBEsol, Alexandria). Values from VASP.

Energy: -6.44 eV/atom
Space-group type: No. 9
Spin magnetization: 4.00 μB/f.u.
Uncorrected formation energy: -219 kJ per mole of atoms
V: 10.1 A^3/atom

```
&SYSTEM
  ibrav = 0, nat = 10, ntyp = 4
/
ATOMIC_SPECIES
Mn 54.94 Mn.upf
Li 6.94 Li.upf
O 16.00 O.upf
F 19.00 F.upf
CELL_PARAMETERS angstrom
-4.685 -0.563 1.623
2.531 -4.165 -1.075
3.354 1.788 3.719
ATOMIC_POSITIONS crystal
Mn 0.973 0.734 0.214
Mn 0.980 0.241 0.714
Li 0.359 0.411 0.341
Li 0.430 0.982 0.841
O 0.894 0.365 0.999
O 0.134 0.105 0.499
F 0.165 0.001 0.015
F 0.461 0.628 0.960
F 0.831 0.498 0.460
F 0.514 0.849 0.515
```



(2)
# Li3Mn3O4F4

Li3Mn3O4F4 after structural relaxation (PBEsol, Alexandria). Values from VASP.

Energy: -6.75 eV/atom
Space-group type: No. 12
Spin magnetization: 12.00 μB/f.u.
Uncorrected formation energy: -211 kJ per mole of atoms
V: 10.4 A^3/atom

```
&SYSTEM
  ibrav = 0, nat = 14, ntyp = 4
/
ATOMIC_SPECIES
Li 6.94 Li.upf
Mn 54.94 Mn.upf
O 16.00 O.upf
F 19.00 F.upf
CELL_PARAMETERS angstrom
-2.747 0.717 -4.884
-0.567 -5.166 2.828
-2.703 4.808 2.226
ATOMIC_POSITIONS crystal
Li 0.653 0.307 0.914
Li 0.000 0.000 0.500
Li 0.347 0.693 0.086
Mn 0.000 0.000 0.000
Mn 0.000 0.500 0.500
Mn 0.500 0.500 0.500
O 0.760 0.519 0.304
O 0.785 0.570 0.754
O 0.215 0.430 0.246
O 0.240 0.481 0.696
F 0.745 0.974 0.239
F 0.229 0.974 0.239
F 0.771 0.026 0.761
F 0.255 0.026 0.761
```



Please write out number 1 again, unchanged.
# LiMnOF2

LiMnOF2 after structural relaxation (PBEsol, Alexandria). Values from VASP.

Energy: -6.44 eV/atom
Space-group type: No. 9
Spin magnetization: 4.00 μB/f.u.
Uncorrected formation energy: -219 kJ per mole of atoms
V: 10.1 A^3/atom

```
&SYSTEM
  ibrav = 0, nat = 10, ntyp = 4
/
ATOMIC_SPECIES
Mn 54.94 Mn.upf
Li 6.94 Li.upf
O 16.00 O.upf
F 19.00 F.upf
CELL_PARAMETERS angstrom
-4.685 -0.563 1.623
2.531 -4.165 -1.075
3.354 1.788 3.719
ATOMIC_POSITIONS crystal
Mn 0.973 0.734 0.214
Mn 0.980 0.241 0.714
Li 0.359 0.411 0.341
Li 0.430 0.982 0.841
O 0.894 0.365 0.999
O 0.134 0.105 0.499
F 0.165 0.001 0.015
F 0.461 0.628 0.960
F 0.831 0.498 0.460
F 0.514 0.849 0.515
```